CsCaAg3, relaxed, DFT PBE-GGA; DOS(E_F) = 0.4452 states/eV/atom; raw total energy = -6.89 eV/f.u.; polymorph energy (0 for the lowest one) = 0.660 eV/atom
1.0
6.032 0.000 0.000
0.000 6.032 0.000
0.000 0.000 6.032
Cs Ca Ag
1 1 3
Cartesian
0.000 0.000 0.000
3.016 3.016 3.016
0.000 3.016 0.000
0.000 0.000 3.016
3.016 0.000 0.000

Cs3CaAg2F6, relaxed, DFT PBE-GGA; DOS(E_F) = 0.2045 states/eV/atom; raw total energy = -48.96 eV/f.u.; energy relative to the elements, uncorrected = -2.29 eV per atom
1.0
6.540 0.000 0.000
-3.270 5.664 0.000
0.000 0.000 7.697
Cs Ca Ag F
3 1 2 6
Cartesian
0.000 3.776 4.901
3.270 1.888 2.796
0.000 0.000 0.000
0.000 0.000 3.849
3.270 1.888 6.575
0.000 3.776 1.122
1.692 4.753 2.491
0.000 1.822 2.491
-1.692 4.753 2.491
3.270 3.842 5.207
1.578 0.911 5.207
4.962 0.911 5.207

Cs3CaAg2F9, relaxed, DFT PBE-GGA; DOS(E_F) = 0.3683 states/eV/atom; raw total energy = -62.83 eV/f.u.; energy relative to the elements, uncorrected = -2.38 eV per atom
1.0
6.409 0.000 0.000
-3.204 5.550 0.000
0.000 0.000 7.853
Cs Ca Ag F
3 1 2 9
Cartesian
0.000 3.700 5.239
0.000 0.000 0.000
3.204 1.850 2.613
0.000 0.000 3.926
0.000 3.700 1.279
3.204 1.850 6.573
4.809 0.923 5.252
3.204 3.703 5.252
1.599 0.923 5.252
1.605 4.627 2.601
0.000 1.847 2.601
-1.605 4.627 2.601
3.204 0.000 0.000
-1.602 2.775 0.000
1.602 2.775 0.000

Cs3Ca2AgF9, relaxed, DFT PBE-GGA; DOS(E_F) = 0.4371 states/eV/atom; raw total energy = -69.86 eV/f.u.; energy relative to the elements, uncorrected = -2.91 eV per atom
1.0
-5.966 2.001 -1.443
3.116 -4.004 -3.992
-3.018 -6.208 3.871
Cs Ca Ag F
3 2 1 9
Cartesian
-1.905 -6.102 -0.586
0.000 0.000 0.000
-3.964 -2.109 -0.978
-0.407 -3.022 -2.507
-5.461 -5.189 0.942
-1.509 -3.104 1.935
-6.464 -3.141 0.713
-4.908 -5.141 -1.281
-3.484 -4.141 1.434
-2.385 -4.070 -2.999
-0.961 -3.069 -0.284
0.595 -5.070 -2.278
-2.983 1.000 -0.722
1.558 -2.002 -1.996
-1.425 -1.002 -2.718

Cs2CaAgF6, relaxed, DFT PBE-GGA; DOS(E_F) = 0.2025 states/eV/atom; raw total energy = -44.39 eV/f.u.; energy relative to the elements, uncorrected = -2.66 eV per atom
1.0
4.544 0.000 0.000
0.000 4.544 0.000
0.000 0.000 9.101
Cs Ca Ag F
2 1 1 6
Cartesian
0.000 0.000 6.766
0.000 0.000 2.334
2.272 2.272 0.000
2.272 2.272 4.550
2.272 0.000 0.000
2.272 0.000 4.550
0.000 2.272 0.000
0.000 2.272 4.550
2.272 2.272 6.801
2.272 2.272 2.300

CsCa4Ag3F12, relaxed, DFT PBE-GGA; DOS(E_F) = 0.0000 states/eV/atom; raw total energy = -97.86 eV/f.u.; energy relative to the elements, uncorrected = -2.90 eV per atom
1.0
-5.521 -4.750 -2.113
6.298 -1.535 -3.935
1.375 -0.859 7.408
Cs Ca Ag F
1 4 3 12
Cartesian
0.000 0.000 0.000
-2.760 -2.375 -1.057
1.076 -3.572 0.680
3.149 -0.767 -1.967
0.688 -0.429 3.704
3.837 -1.197 1.737
0.389 -3.142 -3.024
-2.073 -2.804 2.647
3.590 -2.752 -3.018
-1.437 -4.391 4.378
1.921 -5.009 -0.888
-0.249 -5.481 -3.226
-3.377 -4.261 0.083
2.442 -1.919 -0.121
-0.562 -2.952 -0.793
5.529 -2.882 1.277
0.231 -2.134 2.248
2.402 -1.662 4.586
-0.289 -5.224 1.481
2.715 -4.191 2.153